Zr5TaOs6: optimized geometry, PBE.

Cell lengths 8.005, 8.005, 8.005 Å; angles 146.36, 131.97, 59.91 degrees
Element x y z (fractional)
Zr  0.000  0.000  0.000
Zr  0.167  0.667  0.500
Zr  0.334  0.334  0.000
Zr  0.666  0.666  0.000
Zr  0.833  0.333  0.500
Ta  0.500  0.000  0.500
Os  0.089  0.836  0.253
Os  0.257  0.500  0.757
Os  0.417  0.164  0.253
Os  0.583  0.836  0.747
Os  0.743  0.500  0.243
Os  0.911  0.164  0.747

## Properties
M_tot = 0.00 μB per cell
density of states at the Fermi level = 2.92 states/eV/cell
energy of formation = -0.4766 eV per atom